Co6Mo6C, optimized geometry, DFT PBE; VASP energy = -9.047 eV per atom
1.0
-2.147 7.293 -1.144
-4.112 -5.740 -3.043
-0.070 1.171 7.598
C Co Mo
2 12 12
Direct
0.000 0.000 0.000
0.750 0.500 0.250
0.375 0.750 0.125
0.582 0.164 0.418
0.254 0.836 0.418
0.582 0.836 0.418
0.168 0.336 0.504
0.875 0.250 0.625
0.375 0.250 0.625
0.375 0.750 0.625
0.582 0.164 0.746
0.168 0.336 0.832
0.168 0.664 0.832
0.496 0.664 0.832
0.552 0.103 0.052
0.552 0.500 0.052
0.948 0.500 0.052
0.198 0.000 0.198
0.802 0.000 0.198
0.198 0.397 0.198
0.552 0.500 0.448
0.948 0.500 0.448
0.948 0.897 0.448
0.198 0.000 0.802
0.802 0.000 0.802
0.802 0.603 0.802